A relaxed structure of NpVAgO6, computed with GGA+U.

Results
- DFT total energy (eV/atom) = -7.79
- total magnetic moment (μB per cell) = 2.036

a = 5.3574 Å, b = 5.3574 Å, c = 9.9315 Å
α = 90.00°, β = 90.00°, γ = 120.00°
Each line ends with the local moment (μB).
Atoms (fractional coordinates):
Np 0.6667 0.3333 0.2500  1.25
Np 0.3333 0.6667 0.7500  1.25
V 0.3333 0.6667 0.2500  0.00
V 0.6667 0.3333 0.7500  0.00
Ag 0.0000 0.0000 0.0000  -0.02
Ag 0.0000 0.0000 0.5000  -0.02
O 0.6177 0.6399 0.1442  -0.04
O 0.0222 0.3823 0.1442  -0.04
O 0.3823 0.0222 0.6442  -0.04
O 0.9778 0.6177 0.8558  -0.04
O 0.3600 0.3823 0.3558  -0.04
O 0.0222 0.6399 0.3558  -0.04
O 0.6400 0.0222 0.8558  -0.04
O 0.6177 0.9778 0.3558  -0.04
O 0.9778 0.3601 0.6442  -0.04
O 0.3600 0.9778 0.1442  -0.04
O 0.6400 0.6177 0.6442  -0.04
O 0.3823 0.3601 0.8558  -0.04